1.
A PBEsol-optimized structure of Nb2InSiS, computed with meta-GGA SCAN.

Results
E_form (uncorrected): 0.727 eV/atom
Crystal system: tetragonal
Total moment: 0.00 μB/f.u.
D(E_F): 4.69 states/eV/f.u.

Unit cell a=4.552 b=4.552 c=4.894 alpha=90.00 beta=90.00 gamma=90.00
Atoms (fractional coordinates):
1 Nb 0.000 0.500 0.000
2 Nb 0.500 0.000 0.000
3 In 0.000 0.000 0.500
4 Si 0.500 0.500 0.500
5 S 0.000 0.000 0.000

2.
A PBEsol-optimized structure of Nb6InSe8, computed with meta-GGA SCAN.

Results
E_form (uncorrected): -0.891 eV/atom
Crystal system: hexagonal
Total moment: 0.00 μB/f.u.
D(E_F): 3.73 states/eV/f.u.

Unit cell a=10.007 b=10.007 c=3.450 alpha=90.00 beta=90.00 gamma=120.00
Atoms (fractional coordinates):
1 Nb 0.048 0.822 0.000
2 Nb 0.153 0.441 0.500
3 Nb 0.178 0.225 0.000
4 Nb 0.288 0.847 0.500
5 Nb 0.559 0.712 0.500
6 Nb 0.775 0.952 0.000
7 In 0.667 0.333 0.500
8 Se 0.000 0.000 0.500
9 Se 0.006 0.613 0.500
10 Se 0.330 0.057 0.000
11 Se 0.333 0.667 0.000
12 Se 0.387 0.394 0.500
13 Se 0.606 0.994 0.500
14 Se 0.728 0.670 0.000
15 Se 0.943 0.272 0.000

3.
A PBEsol-optimized structure of NbInSn3, computed with meta-GGA SCAN.

Results
Crystal system: cubic
Total moment: 3.72 μB/f.u.
D(E_F): 4.92 states/eV/f.u.

Unit cell a=5.381 b=5.381 c=5.381 alpha=90.00 beta=90.00 gamma=90.00
Atoms (fractional coordinates):
1 Nb 0.000 0.000 0.000
2 In 0.500 0.500 0.500
3 Sn 0.000 0.500 0.500
4 Sn 0.500 0.000 0.500
5 Sn 0.500 0.500 0.000

4.
A PBEsol-optimized structure of Nb3InSn, computed with meta-GGA SCAN.

Results
Crystal system: cubic
Total moment: 0.01 μB/f.u.
D(E_F): 7.71 states/eV/f.u.

Unit cell a=4.988 b=4.988 c=4.988 alpha=90.00 beta=90.00 gamma=90.00
Atoms (fractional coordinates):
1 Nb 0.000 0.000 0.500
2 Nb 0.000 0.500 0.000
3 Nb 0.500 0.000 0.000
4 In 0.500 0.500 0.500
5 Sn 0.000 0.000 0.000

5.
A PBEsol-optimized structure of Nb12InSn3, computed with meta-GGA SCAN.

Results
Crystal system: orthorhombic
Total moment: 0.00 μB/f.u.
D(E_F): 24.57 states/eV/f.u.

Unit cell a=5.269 b=5.272 c=10.531 alpha=90.00 beta=90.00 gamma=90.00
Atoms (fractional coordinates):
1 Nb 0.000 0.000 0.125
2 Nb 0.000 0.000 0.374
3 Nb 0.000 0.000 0.626
4 Nb 0.000 0.000 0.875
5 Nb 0.249 0.500 0.000
6 Nb 0.249 0.500 0.500
7 Nb 0.500 0.252 0.250
8 Nb 0.500 0.252 0.750
9 Nb 0.500 0.748 0.250
10 Nb 0.500 0.748 0.750
11 Nb 0.751 0.500 0.000
12 Nb 0.751 0.500 0.500
13 In 0.500 0.000 0.000
14 Sn 0.000 0.500 0.250
15 Sn 0.000 0.500 0.750
16 Sn 0.500 0.000 0.500

6.
A PBEsol-optimized structure of Sr2NbIn2, computed with meta-GGA SCAN.

Results
Crystal system: tetragonal
Total moment: 4.46 μB/f.u.
D(E_F): 3.74 states/eV/f.u.

Unit cell a=10.181 b=10.181 c=10.181 alpha=156.74 beta=156.74 gamma=33.12
Atoms (fractional coordinates):
1 Sr 0.098 0.098 0.000
2 Sr 0.902 0.902 0.000
3 Nb 0.500 0.500 0.000
4 In 0.250 0.750 0.500
5 In 0.750 0.250 0.500

no.,total energy (eV/atom)
1,-23.13
2,-27.08
3,-33.59
4,-32.33
5,-33.88
6,-28.48